The following is a PBE calculation of NpRh6W after structural relaxation, from Alexandria via LeMat-Bulk.

## Properties
Formation enthalpy at 0 K: -0.304 eV per atom
DFT total energy: -72.44 eV for the cell shown
M_tot: 1.9 μB/f.u.

abc: 3.9402 3.9402 7.9567
angles: 90.00 90.00 90.00
Fractional coordinates of all 8 atoms:
Np 0.0000 0.0000 0.0000
Rh 0.0000 0.5000 0.2664
Rh 0.0000 0.5000 0.7336
Rh 0.5000 0.0000 0.2664
Rh 0.5000 0.0000 0.7336
Rh 0.5000 0.5000 0.0000
Rh 0.5000 0.5000 0.5000
W 0.0000 0.0000 0.5000

---

The following is a PBE calculation of NpRh2W after structural relaxation, from Alexandria via LeMat-Bulk.

## Properties
Formation enthalpy at 0 K: -0.021 eV per atom
DFT total energy: -122.05 eV for the cell shown
M_tot: 2.7 μB/f.u.

abc: 2.7824 2.7824 29.0856
angles: 90.00 90.00 120.00
Fractional coordinates of all 12 atoms:
Np 0.0000 0.0000 0.0000
Np 0.3333 0.6667 0.6667
Np 0.6667 0.3333 0.3333
Rh 0.0000 0.0000 0.2432
Rh 0.0000 0.0000 0.7568
Rh 0.3333 0.6667 0.4234
Rh 0.3333 0.6667 0.9099
Rh 0.6667 0.3333 0.0901
Rh 0.6667 0.3333 0.5766
W 0.0000 0.0000 0.5000
W 0.3333 0.6667 0.1667
W 0.6667 0.3333 0.8333

---

The following is a PBE calculation of NpRhW after structural relaxation, from Alexandria via LeMat-Bulk.

## Properties
Formation enthalpy at 0 K: 0.204 eV per atom
DFT total energy: -130.54 eV for the cell shown
M_tot: 0.3 μB/f.u.

abc: 9.0292 4.6228 5.8576
angles: 90.00 122.33 90.00
Fractional coordinates of all 12 atoms:
Np 0.1394 0.0000 0.2023
Np 0.3606 0.5000 0.7977
Np 0.6394 0.5000 0.2023
Np 0.8606 0.0000 0.7977
Rh 0.1754 0.0000 0.6977
Rh 0.3246 0.5000 0.3023
Rh 0.6754 0.5000 0.6977
Rh 0.8246 0.0000 0.3023
W 0.0239 0.5000 0.7695
W 0.4761 0.0000 0.2305
W 0.5239 0.0000 0.7695
W 0.9761 0.5000 0.2305

---

The following is a PBE calculation of NpZnRh4 after structural relaxation, from Alexandria via LeMat-Bulk.

## Properties
Formation enthalpy at 0 K: -0.198 eV per atom
DFT total energy: -89.62 eV for the cell shown
M_tot: 1.0 μB/f.u.

abc: 6.2938 6.2938 7.6883
angles: 93.28 93.28 41.75
Fractional coordinates of all 12 atoms:
Np 0.1042 0.8958 0.7500
Np 0.8958 0.1042 0.2500
Zn 0.0000 0.5000 0.0000
Zn 0.5000 0.0000 0.5000
Rh 0.0524 0.5486 0.6712
Rh 0.2804 0.5700 0.3881
Rh 0.4300 0.7196 0.1119
Rh 0.4514 0.9476 0.8288
Rh 0.5486 0.0524 0.1712
Rh 0.5700 0.2804 0.8881
Rh 0.7196 0.4300 0.6119
Rh 0.9476 0.4514 0.3288

---

The following is a PBE calculation of Np2ZnRh9 after structural relaxation, from Alexandria via LeMat-Bulk.

## Properties
Formation enthalpy at 0 K: -0.313 eV per atom
DFT total energy: -97.07 eV for the cell shown
M_tot: 2.8 μB/f.u.

abc: 3.9866 3.9866 11.7498
angles: 90.00 90.00 90.00
Fractional coordinates of all 12 atoms:
Np 0.0000 0.0000 0.1741
Np 0.0000 0.0000 0.8259
Zn 0.0000 0.0000 0.5000
Rh 0.0000 0.5000 0.0000
Rh 0.0000 0.5000 0.3408
Rh 0.0000 0.5000 0.6592
Rh 0.5000 0.0000 0.0000
Rh 0.5000 0.0000 0.3408
Rh 0.5000 0.0000 0.6592
Rh 0.5000 0.5000 0.1705
Rh 0.5000 0.5000 0.5000
Rh 0.5000 0.5000 0.8295

---

The following is a PBE calculation of NpZn2Rh5 after structural relaxation, from Alexandria via LeMat-Bulk.

## Properties
Formation enthalpy at 0 K: -0.413 eV per atom
DFT total energy: -111.09 eV for the cell shown
M_tot: 0.8 μB/f.u.

abc: 4.1466 4.1466 14.0079
angles: 90.00 90.00 90.00
Fractional coordinates of all 16 atoms:
Np 0.0000 0.0000 0.0000
Np 0.5000 0.5000 0.5000
Zn 0.0000 0.0000 0.2507
Zn 0.0000 0.0000 0.7493
Zn 0.5000 0.5000 0.2493
Zn 0.5000 0.5000 0.7507
Rh 0.0000 0.0000 0.5000
Rh 0.0000 0.5000 0.1334
Rh 0.0000 0.5000 0.3666
Rh 0.0000 0.5000 0.6334
Rh 0.0000 0.5000 0.8666
Rh 0.5000 0.0000 0.1334
Rh 0.5000 0.0000 0.3666
Rh 0.5000 0.0000 0.6334
Rh 0.5000 0.0000 0.8666
Rh 0.5000 0.5000 0.0000

---

The following is a PBE calculation of NpZnRh4 after structural relaxation, from Alexandria via LeMat-Bulk.

## Properties
Formation enthalpy at 0 K: -0.275 eV per atom
DFT total energy: -90.54 eV for the cell shown
M_tot: 1.3 μB/f.u.

abc: 9.3184 3.6283 5.9212
angles: 90.00 110.52 90.00
Fractional coordinates of all 12 atoms:
Np 0.0000 0.0000 0.0000
Np 0.5000 0.5000 0.0000
Zn 0.0000 0.0000 0.5000
Zn 0.5000 0.5000 0.5000
Rh 0.1575 0.5000 0.3339
Rh 0.1615 0.5000 0.8156
Rh 0.3385 0.0000 0.1844
Rh 0.3425 0.0000 0.6661
Rh 0.6575 0.0000 0.3339
Rh 0.6615 0.0000 0.8156
Rh 0.8385 0.5000 0.1844
Rh 0.8425 0.5000 0.6661

---

The following is a PBE calculation of NpZnRh6 after structural relaxation, from Alexandria via LeMat-Bulk.

## Properties
Formation enthalpy at 0 K: -0.108 eV per atom
Energy relative to the lowest polymorph listed for this composition: 181 meV/atom
DFT total energy: -59.19 eV for the cell shown
M_tot: 0.7 μB/f.u.

abc: 5.0636 5.0658 5.0842
angles: 96.76 96.78 97.03
Fractional coordinates of all 8 atoms:
Np 0.0000 0.0000 0.0000
Zn 0.5000 0.5000 0.5000
Rh 0.0665 0.5344 0.7581
Rh 0.2412 0.9337 0.4662
Rh 0.4664 0.2416 0.9320
Rh 0.5336 0.7584 0.0680
Rh 0.7588 0.0663 0.5338
Rh 0.9335 0.4656 0.2419

---

The following is a PBE calculation of NpZnRh after structural relaxation, from Alexandria via LeMat-Bulk.

## Properties
Formation enthalpy at 0 K: -0.163 eV per atom
DFT total energy: -44.11 eV for the cell shown
M_tot: 3.9 μB/f.u.

abc: 3.0427 3.0427 11.5230
angles: 90.00 90.00 90.00
Fractional coordinates of all 6 atoms:
Np 0.0000 0.0000 0.0000
Np 0.5000 0.5000 0.5000
Zn 0.0000 0.0000 0.3008
Zn 0.5000 0.5000 0.8008
Rh 0.0000 0.0000 0.6693
Rh 0.5000 0.5000 0.1693

---

The following is a PBE calculation of NpZn2Rh3 after structural relaxation, from Alexandria via LeMat-Bulk.

## Properties
Formation enthalpy at 0 K: -0.442 eV per atom
DFT total energy: -40.20 eV for the cell shown
M_tot: 2.9 μB/f.u.

abc: 4.4886 4.4886 5.4247
angles: 90.00 90.00 120.00
Fractional coordinates of all 6 atoms:
Np 0.0000 0.0000 0.0000
Zn 0.3333 0.6667 0.6650
Zn 0.6667 0.3333 0.3350
Rh 0.0000 0.0000 0.5000
Rh 0.3333 0.6667 0.1889
Rh 0.6667 0.3333 0.8111

---

The following is a PBE calculation of NpZnRh6 after structural relaxation, from Alexandria via LeMat-Bulk.

## Properties
Formation enthalpy at 0 K: -0.289 eV per atom
Energy relative to the lowest polymorph listed for this composition: 0 meV/atom
DFT total energy: -60.64 eV for the cell shown
M_tot: 0.7 μB/f.u.

abc: 5.5371 5.5371 3.9559
angles: 90.00 90.00 90.00
Fractional coordinates of all 8 atoms:
Np 0.0000 0.0000 0.0000
Zn 0.5000 0.5000 0.0000
Rh 0.0000 0.5000 0.0000
Rh 0.2514 0.2514 0.5000
Rh 0.2514 0.7486 0.5000
Rh 0.5000 0.0000 0.0000
Rh 0.7486 0.2514 0.5000
Rh 0.7486 0.7486 0.5000

---

The following is a PBE calculation of NpZnRh5 after structural relaxation, from Alexandria via LeMat-Bulk.

## Properties
Formation enthalpy at 0 K: -0.186 eV per atom
DFT total energy: -52.27 eV for the cell shown
M_tot: 0.9 μB/f.u.

abc: 4.1215 4.1215 6.6556
angles: 90.00 90.00 90.00
Fractional coordinates of all 7 atoms:
Np 0.0000 0.0000 0.0000
Zn 0.5000 0.5000 0.5000
Rh 0.0000 0.5000 0.2732
Rh 0.0000 0.5000 0.7268
Rh 0.5000 0.0000 0.2732
Rh 0.5000 0.0000 0.7268
Rh 0.5000 0.5000 0.0000

---

> formation enthalpy at 0 K of number 2 (NpRh2W)?

-0.021 eV per atom

---

> Look up the formation enthalpy at 0 K of the tenth one.

-0.442 eV per atom

---

> Among the records above, which one has the lowest M_tot?

NpRhW

---

> The lowest formation enthalpy at 0 K belongs to which entry?

NpZn2Rh3